No. 1
# CsAsSe3 (GGA-PBE, optimized geometry)
data_CsAsSe3
_chemical_formula_sum 'Cs1 As1 Se3'
_cell_length_a 5.8100
_cell_length_b 5.8100
_cell_length_c 5.8100
_cell_angle_alpha 90.00
_cell_angle_beta 90.00
_cell_angle_gamma 90.00
_symmetry_space_group_name_H-M 'P 1'
_symmetry_Int_Tables_number 1
loop_
_symmetry_equiv_pos_as_xyz
'x,y,z'
loop_
_atom_site_label
_atom_site_type_symbol
_atom_site_fract_x
_atom_site_fract_y
_atom_site_fract_z
Cs1 Cs 0.0000 0.0000 0.0000
As1 As 0.5000 0.5000 0.5000
Se1 Se 0.0000 0.0000 0.5000
Se2 Se 0.0000 0.5000 0.0000
Se3 Se 0.5000 0.0000 0.0000
# Mass density, g/cm³: 3.8
# Space-group type: Pm-3m, No. 221
# Size of the total moment, μB per atom: 0.0006
# Electronic total energy, eV per atom: -1.709
# V, Å³ per atom: 39.2

=====

No. 2
# CsAs2Se3 (GGA-PBE, optimized geometry)
data_CsAs2Se3
_chemical_formula_sum 'Cs2 As4 Se6'
_cell_length_a 7.0000
_cell_length_b 7.2071
_cell_length_c 9.5857
_cell_angle_alpha 80.66
_cell_angle_beta 87.91
_cell_angle_gamma 72.74
_symmetry_space_group_name_H-M 'P 1'
_symmetry_Int_Tables_number 1
loop_
_symmetry_equiv_pos_as_xyz
'x,y,z'
loop_
_atom_site_label
_atom_site_type_symbol
_atom_site_fract_x
_atom_site_fract_y
_atom_site_fract_z
Cs1 Cs 0.1770 0.4037 0.2547
Cs2 Cs 0.8230 0.5963 0.7453
As1 As 0.2558 0.9482 0.9465
As2 As 0.5002 0.2851 0.6233
As3 As 0.4998 0.7149 0.3767
As4 As 0.7442 0.0518 0.0535
Se1 Se 0.0964 0.9371 0.1773
Se2 Se 0.3175 0.6229 0.5991
Se3 Se 0.3321 0.2566 0.9046
Se4 Se 0.6679 0.7434 0.0954
Se5 Se 0.6825 0.3771 0.4009
Se6 Se 0.9036 0.0629 0.8227
# Mass density, g/cm³: 3.8
# Space-group type: P-1, No. 2
# Size of the total moment, μB per atom: 0.0000
# Energy above the most stable polymorph in this dataset, meV/atom: 98
# Electronic total energy, eV per atom: -3.826
# V, Å³ per atom: 38.0

=====

No. 3
# CsAsSe2 (GGA-PBE, optimized geometry)
data_CsAsSe2
_chemical_formula_sum 'Cs8 As8 Se16'
_cell_length_a 6.8939
_cell_length_b 10.0962
_cell_length_c 17.1628
_cell_angle_alpha 90.00
_cell_angle_beta 90.00
_cell_angle_gamma 90.00
_symmetry_space_group_name_H-M 'P 1'
_symmetry_Int_Tables_number 1
loop_
_symmetry_equiv_pos_as_xyz
'x,y,z'
loop_
_atom_site_label
_atom_site_type_symbol
_atom_site_fract_x
_atom_site_fract_y
_atom_site_fract_z
Cs1 Cs 0.1397 0.1983 0.0793
Cs2 Cs 0.1397 0.3017 0.5793
Cs3 Cs 0.3603 0.6983 0.0793
Cs4 Cs 0.3603 0.8017 0.5793
Cs5 Cs 0.6397 0.1983 0.4207
Cs6 Cs 0.6397 0.3017 0.9207
Cs7 Cs 0.8603 0.6983 0.4207
Cs8 Cs 0.8603 0.8017 0.9207
As1 As 0.2330 0.0293 0.2885
As2 As 0.2330 0.4707 0.7885
As3 As 0.2670 0.5293 0.2885
As4 As 0.2670 0.9707 0.7885
As5 As 0.7330 0.0293 0.2115
As6 As 0.7330 0.4707 0.7115
As7 As 0.7670 0.5293 0.2115
As8 As 0.7670 0.9707 0.7115
Se1 Se 0.0132 0.6254 0.7180
Se2 Se 0.0132 0.8746 0.2180
Se3 Se 0.1390 0.0234 0.4199
Se4 Se 0.1390 0.4766 0.9199
Se5 Se 0.3610 0.5234 0.4199
Se6 Se 0.3610 0.9766 0.9199
Se7 Se 0.4868 0.1254 0.7180
Se8 Se 0.4868 0.3746 0.2180
Se9 Se 0.5132 0.6254 0.7820
Se10 Se 0.5132 0.8746 0.2820
Se11 Se 0.6390 0.0234 0.0801
Se12 Se 0.6390 0.4766 0.5801
Se13 Se 0.8610 0.5234 0.0801
Se14 Se 0.8610 0.9766 0.5801
Se15 Se 0.9868 0.1254 0.7820
Se16 Se 0.9868 0.3746 0.2820
# Mass density, g/cm³: 4.1
# Space-group type: Pbca, No. 61
# Size of the total moment, μB per atom: 0.0000
# Electronic total energy, eV per atom: -3.763
# V, Å³ per atom: 37.3

=====

No. 4
# Cs8AsSe2 (GGA-PBE, optimized geometry)
data_Cs8AsSe2
_chemical_formula_sum 'Cs8 As1 Se2'
_cell_length_a 10.6580
_cell_length_b 10.6580
_cell_length_c 10.6580
_cell_angle_alpha 147.83
_cell_angle_beta 125.41
_cell_angle_gamma 64.79
_symmetry_space_group_name_H-M 'P 1'
_symmetry_Int_Tables_number 1
loop_
_symmetry_equiv_pos_as_xyz
'x,y,z'
loop_
_atom_site_label
_atom_site_type_symbol
_atom_site_fract_x
_atom_site_fract_y
_atom_site_fract_z
Cs1 Cs 0.1268 0.3434 0.7834
Cs2 Cs 0.1398 0.1398 0.0000
Cs3 Cs 0.3102 0.0000 0.3102
Cs4 Cs 0.4400 0.6566 0.7834
Cs5 Cs 0.5600 0.3434 0.2166
Cs6 Cs 0.6898 0.0000 0.6898
Cs7 Cs 0.8602 0.8602 0.0000
Cs8 Cs 0.8732 0.6566 0.2166
As1 As 0.0000 0.5000 0.5000
Se1 Se 0.3098 0.8098 0.5000
Se2 Se 0.6902 0.1902 0.5000
# Mass density, g/cm³: 4.1
# Space-group type: Immm, No. 71
# Size of the total moment, μB per atom: 0.0677
# Electronic total energy, eV per atom: -2.255
# V, Å³ per atom: 47.2

=====

No. 5
# CsAs2Se3 (GGA-PBE, optimized geometry)
data_CsAs2Se3
_chemical_formula_sum 'Cs8 As16 Se24'
_cell_length_a 15.0732
_cell_length_b 7.6287
_cell_length_c 13.8971
_cell_angle_alpha 90.00
_cell_angle_beta 90.00
_cell_angle_gamma 90.00
_symmetry_space_group_name_H-M 'P 1'
_symmetry_Int_Tables_number 1
loop_
_symmetry_equiv_pos_as_xyz
'x,y,z'
loop_
_atom_site_label
_atom_site_type_symbol
_atom_site_fract_x
_atom_site_fract_y
_atom_site_fract_z
Cs1 Cs 0.0699 0.2500 0.0946
Cs2 Cs 0.0922 0.7500 0.5706
Cs3 Cs 0.4078 0.2500 0.0706
Cs4 Cs 0.4301 0.7500 0.5946
Cs5 Cs 0.5699 0.2500 0.4054
Cs6 Cs 0.5922 0.7500 0.9294
Cs7 Cs 0.9078 0.2500 0.4294
Cs8 Cs 0.9301 0.7500 0.9054
As1 As 0.0104 0.7500 0.2664
As2 As 0.2217 0.7500 0.9371
As3 As 0.2420 0.5830 0.2306
As4 As 0.2420 0.9170 0.2306
As5 As 0.2580 0.0830 0.7306
As6 As 0.2580 0.4170 0.7306
As7 As 0.2783 0.2500 0.4371
As8 As 0.4896 0.2500 0.7664
As9 As 0.5104 0.7500 0.2336
As10 As 0.7217 0.7500 0.5629
As11 As 0.7420 0.5830 0.2694
As12 As 0.7420 0.9170 0.2694
As13 As 0.7580 0.0830 0.7694
As14 As 0.7580 0.4170 0.7694
As15 As 0.7783 0.2500 0.0629
As16 As 0.9896 0.2500 0.7336
Se1 Se 0.1009 0.2500 0.6104
Se2 Se 0.1062 0.5123 0.3271
Se3 Se 0.1062 0.9877 0.3271
Se4 Se 0.1205 0.7500 0.0700
Se5 Se 0.1514 0.0095 0.8635
Se6 Se 0.1514 0.4905 0.8635
Se7 Se 0.3486 0.5095 0.3635
Se8 Se 0.3486 0.9905 0.3635
Se9 Se 0.3795 0.2500 0.5700
Se10 Se 0.3938 0.0123 0.8271
Se11 Se 0.3938 0.4877 0.8271
Se12 Se 0.3991 0.7500 0.1104
Se13 Se 0.6009 0.2500 0.8896
Se14 Se 0.6062 0.5123 0.1729
Se15 Se 0.6062 0.9877 0.1729
Se16 Se 0.6205 0.7500 0.4300
Se17 Se 0.6514 0.0095 0.6365
Se18 Se 0.6514 0.4905 0.6365
Se19 Se 0.8486 0.5095 0.1365
Se20 Se 0.8486 0.9905 0.1365
Se21 Se 0.8795 0.2500 0.9300
Se22 Se 0.8938 0.0123 0.6729
Se23 Se 0.8938 0.4877 0.6729
Se24 Se 0.8991 0.7500 0.3896
# Mass density, g/cm³: 4.3
# Space-group type: Pnma, No. 62
# Size of the total moment, μB per atom: 0.0000
# Energy above the most stable polymorph in this dataset, meV/atom: 0
# Electronic total energy, eV per atom: -3.924
# V, Å³ per atom: 33.3

=====

No. 6
# CsAsSe2 (GGA-PBE, optimized geometry)
data_CsAsSe2
_chemical_formula_sum 'Cs4 As4 Se8'
_cell_length_a 7.9015
_cell_length_b 10.0719
_cell_length_c 7.2524
_cell_angle_alpha 90.00
_cell_angle_beta 101.69
_cell_angle_gamma 90.00
_symmetry_space_group_name_H-M 'P 1'
_symmetry_Int_Tables_number 1
loop_
_symmetry_equiv_pos_as_xyz
'x,y,z'
loop_
_atom_site_label
_atom_site_type_symbol
_atom_site_fract_x
_atom_site_fract_y
_atom_site_fract_z
Cs1 Cs 0.1717 0.0702 0.2846
Cs2 Cs 0.1717 0.4298 0.7846
Cs3 Cs 0.8283 0.5702 0.2154
Cs4 Cs 0.8283 0.9298 0.7154
As1 As 0.4017 0.6592 0.3599
As2 As 0.4017 0.8408 0.8599
As3 As 0.5983 0.1592 0.1401
As4 As 0.5983 0.3408 0.6401
Se1 Se 0.2033 0.7495 0.0484
Se2 Se 0.2033 0.7505 0.5484
Se3 Se 0.3163 0.0667 0.8099
Se4 Se 0.3163 0.4333 0.3099
Se5 Se 0.6837 0.5667 0.6901
Se6 Se 0.6837 0.9333 0.1901
Se7 Se 0.7967 0.2495 0.4516
Se8 Se 0.7967 0.2505 0.9516
# Mass density, g/cm³: 4.3
# Space-group type: P2_1/c, No. 14
# Size of the total moment, μB per atom: 0.0000
# Electronic total energy, eV per atom: -3.759
# V, Å³ per atom: 35.3

=====

No. 7
# CsAsSe2 (GGA-PBE, optimized geometry)
data_CsAsSe2
_chemical_formula_sum 'Cs2 As2 Se4'
_cell_length_a 7.4308
_cell_length_b 7.4308
_cell_length_c 7.4308
_cell_angle_alpha 114.47
_cell_angle_beta 114.47
_cell_angle_gamma 99.88
_symmetry_space_group_name_H-M 'P 1'
_symmetry_Int_Tables_number 1
loop_
_symmetry_equiv_pos_as_xyz
'x,y,z'
loop_
_atom_site_label
_atom_site_type_symbol
_atom_site_fract_x
_atom_site_fract_y
_atom_site_fract_z
Cs1 Cs 0.0000 0.0000 0.0000
Cs2 Cs 0.7500 0.2500 0.5000
As1 As 0.2500 0.7500 0.5000
As2 As 0.5000 0.5000 0.0000
Se1 Se 0.2411 0.6250 0.1161
Se2 Se 0.3750 0.4911 0.6161
Se3 Se 0.5089 0.1250 0.8839
Se4 Se 0.8750 0.7589 0.3839
# Mass density, g/cm³: 3.9
# Space-group type: I-42d, No. 122
# Size of the total moment, μB per atom: 0.0000
# Electronic total energy, eV per atom: -3.637
# V, Å³ per atom: 38.7

=====

No. 8
# Cs3AsSe (GGA-PBE, optimized geometry)
data_Cs3AsSe
_chemical_formula_sum 'Cs6 As2 Se2'
_cell_length_a 9.7015
_cell_length_b 9.7015
_cell_length_c 10.7174
_cell_angle_alpha 95.08
_cell_angle_beta 95.08
_cell_angle_gamma 27.63
_symmetry_space_group_name_H-M 'P 1'
_symmetry_Int_Tables_number 1
loop_
_symmetry_equiv_pos_as_xyz
'x,y,z'
loop_
_atom_site_label
_atom_site_type_symbol
_atom_site_fract_x
_atom_site_fract_y
_atom_site_fract_z
Cs1 Cs 0.0000 0.0000 0.0000
Cs2 Cs 0.1628 0.1628 0.5681
Cs3 Cs 0.3578 0.3578 0.7629
Cs4 Cs 0.5210 0.5210 0.3308
Cs5 Cs 0.7044 0.7044 0.0191
Cs6 Cs 0.8167 0.8167 0.3122
As1 As 0.5396 0.5396 0.6938
As2 As 0.9809 0.9809 0.6368
Se1 Se 0.1535 0.1535 0.2508
Se2 Se 0.3675 0.3675 0.0802
# Mass density, g/cm³: 3.9
# Space-group type: Cm, No. 8
# Size of the total moment, μB per atom: 0.0000
# Energy above the most stable polymorph in this dataset, meV/atom: 0
# Electronic total energy, eV per atom: -2.840
# V, Å³ per atom: 46.6

=====

No. 9
# CsAsSe2 (GGA-PBE, optimized geometry)
data_CsAsSe2
_chemical_formula_sum 'Cs2 As2 Se4'
_cell_length_a 5.4954
_cell_length_b 5.5764
_cell_length_c 9.9217
_cell_angle_alpha 95.54
_cell_angle_beta 90.02
_cell_angle_gamma 90.02
_symmetry_space_group_name_H-M 'P 1'
_symmetry_Int_Tables_number 1
loop_
_symmetry_equiv_pos_as_xyz
'x,y,z'
loop_
_atom_site_label
_atom_site_type_symbol
_atom_site_fract_x
_atom_site_fract_y
_atom_site_fract_z
Cs1 Cs 0.0000 0.0000 0.0000
Cs2 Cs 0.4984 0.5573 0.3823
As1 As 0.0236 0.0790 0.6099
As2 As 0.5240 0.4763 0.7725
Se1 Se 0.0847 0.5126 0.6912
Se2 Se 0.4979 0.4932 0.0087
Se3 Se 0.5845 0.0426 0.6915
Se4 Se 0.9963 0.0629 0.3738
# Mass density, g/cm³: 4.0
# Space-group type: P1, No. 1
# Size of the total moment, μB per atom: 0.0000
# Electronic total energy, eV per atom: -3.765
# V, Å³ per atom: 37.8

=====

No. 10
# Cs3As2Se4 (GGA-PBE, optimized geometry)
data_Cs3As2Se4
_chemical_formula_sum 'Cs6 As4 Se8'
_cell_length_a 9.8682
_cell_length_b 9.8682
_cell_length_c 8.7117
_cell_angle_alpha 90.47
_cell_angle_beta 90.47
_cell_angle_gamma 64.30
_symmetry_space_group_name_H-M 'P 1'
_symmetry_Int_Tables_number 1
loop_
_symmetry_equiv_pos_as_xyz
'x,y,z'
loop_
_atom_site_label
_atom_site_type_symbol
_atom_site_fract_x
_atom_site_fract_y
_atom_site_fract_z
Cs1 Cs 0.0129 0.9871 0.7500
Cs2 Cs 0.2559 0.4817 0.0947
Cs3 Cs 0.4817 0.2559 0.5947
Cs4 Cs 0.5183 0.7441 0.4053
Cs5 Cs 0.7441 0.5183 0.9053
Cs6 Cs 0.9871 0.0129 0.2500
As1 As 0.0345 0.3545 0.5160
As2 As 0.3545 0.0345 0.0160
As3 As 0.6455 0.9655 0.9840
As4 As 0.9655 0.6455 0.4840
Se1 Se 0.1274 0.3032 0.7712
Se2 Se 0.2019 0.6534 0.4909
Se3 Se 0.3032 0.1274 0.2712
Se4 Se 0.3466 0.7981 0.0091
Se5 Se 0.6534 0.2019 0.9909
Se6 Se 0.6968 0.8726 0.7288
Se7 Se 0.7981 0.3466 0.5091
Se8 Se 0.8726 0.6968 0.2288
# Mass density, g/cm³: 3.8
# Space-group type: C2/c, No. 15
# Size of the total moment, μB per atom: 0.0000
# Energy above the most stable polymorph in this dataset, meV/atom: 0
# Electronic total energy, eV per atom: -3.605
# V, Å³ per atom: 42.5

=====

No. 11
# Cs4AsSe4 (GGA-PBE, optimized geometry)
data_Cs4AsSe4
_chemical_formula_sum 'Cs4 As1 Se4'
_cell_length_a 9.2934
_cell_length_b 9.2934
_cell_length_c 9.2934
_cell_angle_alpha 125.78
_cell_angle_beta 125.78
_cell_angle_gamma 80.26
_symmetry_space_group_name_H-M 'P 1'
_symmetry_Int_Tables_number 1
loop_
_symmetry_equiv_pos_as_xyz
'x,y,z'
loop_
_atom_site_label
_atom_site_type_symbol
_atom_site_fract_x
_atom_site_fract_y
_atom_site_fract_z
Cs1 Cs 0.0000 0.5000 0.5000
Cs2 Cs 0.1998 0.1998 0.0000
Cs3 Cs 0.5000 0.0000 0.5000
Cs4 Cs 0.8002 0.8002 0.0000
As1 As 0.5000 0.5000 0.0000
Se1 Se 0.2268 0.2268 0.6622
Se2 Se 0.4354 0.7732 0.0000
Se3 Se 0.5646 0.5646 0.3378
Se4 Se 0.7732 0.4354 0.0000
# Mass density, g/cm³: 3.0
# Space-group type: I-42m, No. 121
# Size of the total moment, μB per atom: 0.0691
# Energy above the most stable polymorph in this dataset, meV/atom: 0
# Electronic total energy, eV per atom: -3.258
# V, Å³ per atom: 56.6

=====

No. 12
# CsAs2Se4 (GGA-PBE, optimized geometry)
data_CsAs2Se4
_chemical_formula_sum 'Cs2 As4 Se8'
_cell_length_a 5.8094
_cell_length_b 6.9579
_cell_length_c 13.3950
_cell_angle_alpha 95.20
_cell_angle_beta 92.55
_cell_angle_gamma 99.42
_symmetry_space_group_name_H-M 'P 1'
_symmetry_Int_Tables_number 1
loop_
_symmetry_equiv_pos_as_xyz
'x,y,z'
loop_
_atom_site_label
_atom_site_type_symbol
_atom_site_fract_x
_atom_site_fract_y
_atom_site_fract_z
Cs1 Cs 0.0000 0.0000 0.0000
Cs2 Cs 0.3433 0.8262 0.4748
As1 As 0.4087 0.6214 0.8278
As2 As 0.7970 0.4044 0.2684
As3 As 0.8630 0.9363 0.2940
As4 As 0.8819 0.5745 0.6762
Se1 Se 0.0086 0.4780 0.8450
Se2 Se 0.0711 0.6942 0.2085
Se3 Se 0.1383 0.2324 0.2647
Se4 Se 0.3706 0.9234 0.7554
Se5 Se 0.4764 0.4251 0.6732
Se6 Se 0.5450 0.9987 0.1889
Se7 Se 0.7384 0.4794 0.4384
Se8 Se 0.8629 0.9146 0.7295
# Mass density, g/cm³: 3.7
# Space-group type: P1, No. 1
# Size of the total moment, μB per atom: 0.0000
# Energy above the most stable polymorph in this dataset, meV/atom: 0
# Electronic total energy, eV per atom: -3.805
# V, Å³ per atom: 37.9